# 1
## RbTmSiTe3 (PBE)

Data for a geometry-optimized RbTmSiTe3 structure.

Total DFT energy (no corrections): -4.099 eV per atom

Unit cell a=8.2605 b=8.2605 c=11.9256 alpha=90.00 beta=90.00 gamma=147.11
Fractional coordinates of all 12 atoms:
Te (0.6250, 0.3750, 0.4541)
Te (0.0535, 0.9465, 0.7500)
Te (0.3750, 0.6250, 0.5459)
Rb (0.2509, 0.7491, 0.2500)
Si (0.5387, 0.4613, 0.2500)
Tm (0.0000, 0.0000, 0.5000)
Te (0.6250, 0.3750, 0.0459)
Rb (0.7491, 0.2509, 0.7500)
Tm (0.0000, 0.0000, 0.0000)
Te (0.9465, 0.0535, 0.2500)
Te (0.3750, 0.6250, 0.9541)
Si (0.4613, 0.5387, 0.7500)



# 2
## RbThSi (PBE)

Data for a geometry-optimized RbThSi structure.

Total DFT energy (no corrections): -4.056 eV per atom

Unit cell a=5.2180 b=5.2180 c=5.2180 alpha=60.00 beta=60.00 gamma=60.00
Fractional coordinates of all 3 atoms:
Rb (0.2500, 0.2500, 0.2500)
Si (0.0000, 0.0000, 0.0000)
Th (0.7500, 0.7500, 0.7500)



# 3
## RbTmSi (PBE)

Data for a geometry-optimized RbTmSi structure.

Total DFT energy (no corrections): -3.257 eV per atom

Unit cell a=5.2402 b=5.2402 c=5.2402 alpha=60.00 beta=60.00 gamma=60.00
Fractional coordinates of all 3 atoms:
Si (0.0000, 0.0000, 0.0000)
Rb (0.2500, 0.2500, 0.2500)
Tm (0.7500, 0.7500, 0.7500)



# 4
## RbSiW (PBE)

Data for a geometry-optimized RbSiW structure.

Total DFT energy (no corrections): -4.523 eV per atom

Unit cell a=4.7280 b=4.7280 c=4.7280 alpha=60.00 beta=60.00 gamma=60.00
Fractional coordinates of all 3 atoms:
Rb (0.2500, 0.2500, 0.2500)
W (0.0000, 0.0000, 0.0000)
Si (0.7500, 0.7500, 0.7500)



# 5
## RbSi5W3 (PBE)

Data for a geometry-optimized RbSi5W3 structure.

Total DFT energy (no corrections): -7.175 eV per atom

Unit cell a=5.3008 b=5.3008 c=8.5432 alpha=90.00 beta=90.00 gamma=120.00
Fractional coordinates of all 9 atoms:
Si (0.6667, 0.3333, 0.7524)
Si (0.6667, 0.3333, 0.2476)
W (0.5000, 0.5000, 0.5000)
W (0.5000, 0.0000, 0.5000)
Si (0.3333, 0.6667, 0.7524)
Rb (0.0000, 0.0000, 0.0000)
W (0.0000, 0.5000, 0.5000)
Si (0.3333, 0.6667, 0.2476)
Si (0.0000, 0.0000, 0.5000)



# 6
## RbSiW (PBE)

Data for a geometry-optimized RbSiW structure.

Total DFT energy (no corrections): -4.555 eV per atom

Unit cell a=4.8095 b=4.8095 c=4.8095 alpha=60.00 beta=60.00 gamma=60.00
Fractional coordinates of all 3 atoms:
Si (0.0000, 0.0000, 0.0000)
Rb (0.2500, 0.2500, 0.2500)
W (0.7500, 0.7500, 0.7500)



# 7
## RbZn2Si2 (PBE)

Data for a geometry-optimized RbZn2Si2 structure.

Total DFT energy (no corrections): -2.784 eV per atom

Unit cell a=4.4457 b=4.4457 c=6.0776 alpha=111.45 beta=111.45 gamma=90.00
Fractional coordinates of all 5 atoms:
Zn (0.7500, 0.2500, 0.5000)
Rb (0.0000, 0.0000, 0.0000)
Si (0.6175, 0.6175, 0.2349)
Si (0.3825, 0.3825, 0.7651)
Zn (0.2500, 0.7500, 0.5000)



# 8
## RbZnSi (PBE)

Data for a geometry-optimized RbZnSi structure.

Total DFT energy (no corrections): -1.821 eV per atom

Unit cell a=5.0951 b=5.0951 c=5.0951 alpha=60.00 beta=60.00 gamma=60.00
Fractional coordinates of all 3 atoms:
Zn (0.7500, 0.7500, 0.7500)
Si (0.0000, 0.0000, 0.0000)
Rb (0.2500, 0.2500, 0.2500)



# 9
## RbZnSi (PBE)

Data for a geometry-optimized RbZnSi structure.

Total DFT energy (no corrections): -1.354 eV per atom

Unit cell a=5.4098 b=5.4098 c=5.4098 alpha=60.00 beta=60.00 gamma=60.00
Fractional coordinates of all 3 atoms:
Zn (0.7500, 0.7500, 0.7500)
Si (0.2500, 0.2500, 0.2500)
Rb (0.0000, 0.0000, 0.0000)



# 10
## RbZr3Si5 (PBE)

Data for a geometry-optimized RbZr3Si5 structure.

Total DFT energy (no corrections): -6.008 eV per atom

Unit cell a=5.9400 b=5.9400 c=6.6758 alpha=90.00 beta=90.00 gamma=120.00
Fractional coordinates of all 9 atoms:
Si (0.0000, 0.0000, 0.5000)
Si (0.3333, 0.6667, 0.1728)
Zr (0.5000, 0.0000, 0.5000)
Si (0.6667, 0.3333, 0.1728)
Si (0.3333, 0.6667, 0.8272)
Rb (0.0000, 0.0000, 0.0000)
Zr (0.5000, 0.5000, 0.5000)
Si (0.6667, 0.3333, 0.8272)
Zr (0.0000, 0.5000, 0.5000)



# 11
## Rb2Sm (PBE)

Data for a geometry-optimized Rb2Sm structure.

Total DFT energy (no corrections): -0.835 eV per atom

Unit cell a=13.0103 b=13.0103 c=13.0103 alpha=60.00 beta=60.00 gamma=60.00
Fractional coordinates of all 6 atoms:
Rb (0.8750, 0.3750, 0.3750)
Rb (0.3750, 0.3750, 0.8750)
Rb (0.3750, 0.8750, 0.3750)
Sm (0.5000, 0.5000, 0.5000)
Sm (0.2500, 0.2500, 0.2500)
Rb (0.3750, 0.3750, 0.3750)



# 12
## Rb3Sm (PBE)

Data for a geometry-optimized Rb3Sm structure.

Total DFT energy (no corrections): -1.233 eV per atom

Unit cell a=7.2428 b=7.2428 c=12.9688 alpha=90.00 beta=90.00 gamma=120.00
Fractional coordinates of all 8 atoms:
Sm (0.8334, 0.1666, 0.2500)
Rb (0.8333, 0.1667, 0.9216)
Rb (0.5000, 0.5000, 0.7500)
Rb (0.8333, 0.1667, 0.5784)
Rb (0.1667, 0.8333, 0.4216)
Rb (0.1667, 0.8333, 0.0784)
Rb (0.5000, 0.5000, 0.2500)
Sm (0.1666, 0.8334, 0.7500)